1.
DFT (PBE) results for a relaxed structure of YEr4Cu4.

**Calculated total energy**: -4.611 eV/atom
**DOS at the Fermi energy**: 1.370 states/eV per atom
**Crystal system**: tetragonal

a = 8.7776 Å, b = 8.7776 Å, c = 5.6702 Å
α = 90.00°, β = 90.00°, γ = 90.00°
Sites, in units of the cell vectors:
Y: 0.2500 0.2500 0.2500
Y: 0.7500 0.7500 0.7500
Er: 0.0690 0.6609 0.1514
Er: 0.1609 0.9310 0.6514
Er: 0.3391 0.5690 0.6514
Er: 0.4310 0.8391 0.1514
Er: 0.5690 0.1609 0.8486
Er: 0.6609 0.4310 0.3486
Er: 0.8391 0.0690 0.3486
Er: 0.9310 0.3391 0.8486
Cu: 0.0262 0.6126 0.6363
Cu: 0.1126 0.9738 0.1363
Cu: 0.3874 0.5262 0.1363
Cu: 0.4738 0.8874 0.6363
Cu: 0.5262 0.1126 0.3637
Cu: 0.6126 0.4738 0.8637
Cu: 0.8874 0.0262 0.8637
Cu: 0.9738 0.3874 0.3637

***

2.
DFT (PBE) results for a relaxed structure of ZnSe2Br.

**Distance to the lowest polymorph of the same formula**: 428 meV/atom
**ΔE_f (raw)**: 136 meV per atom
**DOS at the Fermi energy**: 1.673 states/eV per atom
**Crystal system**: tetragonal

a = 6.7339 Å, b = 6.7339 Å, c = 9.9779 Å
α = 90.00°, β = 90.00°, γ = 90.00°
Sites, in units of the cell vectors:
Zn: 0.0000 0.0000 0.0000
Zn: 0.0000 0.5000 0.2500
Zn: 0.5000 0.0000 0.7500
Zn: 0.5000 0.5000 0.5000
Se: 0.1905 0.2500 0.1250
Se: 0.2500 0.6905 0.3750
Se: 0.2500 0.8095 0.8750
Se: 0.3095 0.2500 0.6250
Se: 0.6905 0.7500 0.6250
Se: 0.7500 0.1905 0.8750
Se: 0.7500 0.3095 0.3750
Se: 0.8095 0.7500 0.1250
Br: 0.0000 0.0000 0.5000
Br: 0.0000 0.5000 0.7500
Br: 0.5000 0.0000 0.2500
Br: 0.5000 0.5000 0.0000

***

3.
DFT (PBE) results for a relaxed structure of NaLi2PuSb2.

**ΔE_f (raw)**: -594 meV per atom
**DOS at the Fermi energy**: 2.439 states/eV per atom
**Crystal system**: trigonal

a = 4.6924 Å, b = 4.6924 Å, c = 7.3891 Å
α = 90.00°, β = 90.00°, γ = 120.00°
Sites, in units of the cell vectors:
Na: 0.0000 0.0000 0.0000
Li: 0.3333 0.6667 0.1722
Li: 0.6667 0.3333 0.8278
Pu: 0.0000 0.0000 0.5000
Sb: 0.3333 0.6667 0.7354
Sb: 0.6667 0.3333 0.2646

***

4.
DFT (PBE) results for a relaxed structure of Rb2TlF6.

**ΔE_f (raw)**: -2040 meV per atom
**DOS at the Fermi energy**: 0.536 states/eV per atom
**Crystal system**: cubic

a = 6.3395 Å, b = 6.3395 Å, c = 6.3395 Å
α = 60.00°, β = 60.00°, γ = 60.00°
Sites, in units of the cell vectors:
Rb: 0.2500 0.2500 0.2500
Rb: 0.7500 0.7500 0.7500
Tl: 0.0000 0.0000 0.0000
F: 0.2385 0.2385 0.7615
F: 0.2385 0.7615 0.2385
F: 0.2385 0.7615 0.7615
F: 0.7615 0.2385 0.2385
F: 0.7615 0.2385 0.7615
F: 0.7615 0.7615 0.2385